# 1
VASP calculation (PBE) on a relaxed structure of Tb2DyIn3AgPt2.

Calculated total energy   -4.9383 eV per atom

Cell: 3.782 13.559 7.836 Å, 90.00 90.00 90.00°
Space group Amm2 (No. 38)
Symmetry-distinct sites (fractional):
Tb (0.000, 0.205, 0.000)
Dy (0.000, 0.000, 0.614)
In (0.500, 0.000, 0.936)
In (0.500, 0.134, 0.339)
Ag (0.000, 0.000, 0.205)
Pt (0.500, 0.166, 0.704)

---

# 2
VASP calculation (PBE) on a relaxed structure of DyHoFe2Si4.

Calculated total energy   -6.5452 eV per atom

Cell: 3.941 4.020 16.494 Å, 90.00 90.00 90.00°
Space group Amm2 (No. 38)
Symmetry-distinct sites (fractional):
Dy (0.000, 0.000, 0.000)
Ho (0.500, 0.000, 0.783)
Fe (0.000, 0.000, 0.214)
Fe (0.500, 0.000, 0.569)
Si (0.000, 0.000, 0.349)
Si (0.000, 0.000, 0.642)
Si (0.500, 0.000, 0.141)
Si (0.500, 0.000, 0.434)

---

# 3
VASP calculation (PBE) on a relaxed structure of Zr3InSn5.

Calculated total energy   -5.4858 eV per atom

Cell: 6.0813 6.0813 7.7055 Å, 90.00 90.00 120.00°
Space group P6/mmm (No. 191)
Symmetry-distinct sites (fractional):
Zr (0.0000, 0.5000, 0.0000)
In (0.0000, 0.0000, 0.5000)
Sn (0.0000, 0.0000, 0.0000)
Sn (0.3333, 0.6667, 0.3177)

---

# 4
VASP calculation (PBE) on a relaxed structure of KNpAl.

ΔE to the lowest computed polymorph   0.000 eV per atom

Cell: 7.556 7.556 7.556 Å, 90.00 90.00 90.00°
Space group F-43m (No. 216)
Symmetry-distinct sites (fractional):
K (0.000, 0.000, 0.000)
Np (0.000, 0.000, 0.500)
Al (0.250, 0.250, 0.250)

---

# 5
VASP calculation (PBE) on a relaxed structure of Pm4NiBr5.

Calculated total energy   -4.6638 eV per atom

Cell: 18.790 4.022 8.637 Å, 90.00 103.54 90.00°
Space group C2/m (No. 12)
Symmetry-distinct sites (fractional):
Pm (0.000, 0.000, 0.216)
Pm (0.150, 0.500, 0.084)
Ni (0.000, 0.500, 0.000)
Br (0.000, 0.500, 0.500)
Br (0.167, 0.000, 0.343)
Br (0.174, 0.000, 0.838)

---

# 6
VASP calculation (PBE) on a relaxed structure of Dy2HoLu5.

Calculated total energy   -4.5491 eV per atom

Cell: 5.515 7.077 12.258 Å, 90.00 90.00 90.00°
Space group Amm2 (No. 38)
Symmetry-distinct sites (fractional):
Dy (0.000, 0.000, 0.000)
Dy (0.500, 0.000, 0.333)
Ho (0.000, 0.000, 0.500)
Lu (0.000, 0.249, 0.750)
Lu (0.500, 0.000, 0.833)
Lu (0.500, 0.249, 0.584)

---

Number 1: magnetization 0.0 μB/f.u.. Number 2: magnetization 0.1 μB/f.u.. Number 3: magnetization 0.0 μB/f.u.. Number 4: magnetization 4.8 μB/f.u.. Number 5: magnetization 0.4 μB/f.u.. Number 6: magnetization 0.2 μB/f.u..